Record 1
# PrSn2O4

PrSn2O4 after structural relaxation (GGA-PBE, OQMD via LeMat-Bulk). Values from VASP.

Output
crystal system: tetragonal
space group: I4_1/a (88)
calculated density: 7.14 g/cm³
relative energy among the computed polymorphs: 0 meV per atom
total magnetic moment: 0.0 μB/cell

```
&SYSTEM
  ibrav = 0, nat = 14, ntyp = 3
/
ATOMIC_SPECIES
Sn 118.71 Sn.upf
O 16.00 O.upf
Pr 140.91 Pr.upf
CELL_PARAMETERS angstrom
0.858 0.903 6.812
4.104 5.576 0.150
-6.009 -0.645 -3.381
ATOMIC_POSITIONS crystal
Sn 0.875 0.625 0.250
Sn 0.375 0.625 0.250
Sn 0.375 0.625 0.750
Sn 0.375 0.125 0.750
O 0.989 0.970 0.351
O 0.362 0.011 0.981
O 0.030 0.381 0.019
O 0.619 0.638 0.649
O 0.720 0.869 0.481
O 0.388 0.239 0.519
O 0.131 0.612 0.851
O 0.761 0.280 0.149
Pr 0.000 0.000 0.000
Pr 0.750 0.250 0.500
```

Record 2
# PrSn2O4

PrSn2O4 after structural relaxation (GGA-PBE, OQMD via LeMat-Bulk). Values from VASP.

Output
crystal system: cubic
space group: Fd-3m (227)
calculated density: 6.04 g/cm³
relative energy among the computed polymorphs: 127 meV per atom
total magnetic moment: 2.0 μB/cell

```
&SYSTEM
  ibrav = 0, nat = 14, ntyp = 3
/
ATOMIC_SPECIES
Sn 118.71 Sn.upf
Pr 140.91 Pr.upf
O 16.00 O.upf
CELL_PARAMETERS angstrom
4.954 -4.955 0.000
-4.954 0.000 -4.955
4.954 4.955 0.000
ATOMIC_POSITIONS crystal
Sn 0.375 0.750 0.625
Sn 0.875 0.250 0.625
Sn 0.375 0.250 0.625
Sn 0.375 0.750 0.125
Pr 0.000 0.000 0.000
Pr 0.750 0.500 0.250
O 0.617 0.766 0.383
O 0.617 0.234 0.851
O 0.617 0.234 0.383
O 0.601 0.734 0.867
O 0.133 0.734 0.867
O 0.149 0.766 0.383
O 0.133 0.266 0.867
O 0.133 0.266 0.399
```

Record 3
# Sr2Pr2O5

Sr2Pr2O5 after structural relaxation (GGA-PBE, OQMD via LeMat-Bulk). Values from VASP.

Output
crystal system: tetragonal
space group: P4/mmm (123)
calculated density: 5.60 g/cm³
relative energy among the computed polymorphs: 538 meV per atom
total magnetic moment: 0.0 μB/cell

```
&SYSTEM
  ibrav = 0, nat = 9, ntyp = 3
/
ATOMIC_SPECIES
Sr 87.62 Sr.upf
Pr 140.91 Pr.upf
O 16.00 O.upf
CELL_PARAMETERS angstrom
-1.217 -6.503 4.260
3.744 0.836 2.346
-2.392 2.390 2.965
ATOMIC_POSITIONS crystal
Sr 0.219 0.500 0.500
Sr 0.781 0.500 0.500
Pr 0.000 0.000 0.000
Pr 0.500 0.000 0.000
O 0.821 0.000 0.500
O 0.179 0.500 0.000
O 0.821 0.500 0.000
O 0.500 0.500 0.500
O 0.179 0.000 0.500
```

Record 4
# Sr2Pr2O5

Sr2Pr2O5 after structural relaxation (GGA-PBE, OQMD via LeMat-Bulk). Values from VASP.

Output
crystal system: tetragonal
space group: P4/mmm (123)
calculated density: 5.23 g/cm³
relative energy among the computed polymorphs: 0 meV per atom
total magnetic moment: 0.0 μB/cell

```
&SYSTEM
  ibrav = 0, nat = 9, ntyp = 3
/
ATOMIC_SPECIES
O 16.00 O.upf
Sr 87.62 Sr.upf
Pr 140.91 Pr.upf
CELL_PARAMETERS angstrom
8.330 0.000 0.000
0.000 4.526 0.000
0.000 0.000 4.526
ATOMIC_POSITIONS crystal
O 0.185 0.000 0.500
O 0.500 0.500 0.500
O 0.815 0.500 0.000
O 0.185 0.500 0.000
O 0.815 0.000 0.500
Sr 0.000 0.000 0.000
Sr 0.500 0.000 0.000
Pr 0.766 0.500 0.500
Pr 0.234 0.500 0.500
```

Record 5
# Pr2Ta2O5

Pr2Ta2O5 after structural relaxation (GGA-PBE, OQMD via LeMat-Bulk). Values from VASP.

Output
crystal system: tetragonal
space group: P4/mmm (123)
calculated density: 10.09 g/cm³
relative energy among the computed polymorphs: 0 meV per atom
total magnetic moment: 0.0 μB/cell

```
&SYSTEM
  ibrav = 0, nat = 9, ntyp = 3
/
ATOMIC_SPECIES
O 16.00 O.upf
Pr 140.91 Pr.upf
Ta 180.95 Ta.upf
CELL_PARAMETERS angstrom
-3.974 2.887 -5.239
1.879 -2.367 -2.730
-2.824 -2.881 0.554
ATOMIC_POSITIONS crystal
O 0.753 0.500 0.000
O 0.500 0.500 0.500
O 0.247 0.500 0.000
O 0.247 0.000 0.500
O 0.753 0.000 0.500
Pr 0.500 0.000 0.000
Pr 0.000 0.000 0.000
Ta 0.801 0.500 0.500
Ta 0.199 0.500 0.500
```

Record 6
# PrTa7O19

PrTa7O19 after structural relaxation (GGA-PBE, OQMD via LeMat-Bulk). Values from VASP.

Output
crystal system: hexagonal
space group: P-6c2 (188)
calculated density: 8.45 g/cm³
total magnetic moment: 0.0 μB/cell

```
&SYSTEM
  ibrav = 0, nat = 54, ntyp = 3
/
ATOMIC_SPECIES
O 16.00 O.upf
Ta 180.95 Ta.upf
Pr 140.91 Pr.upf
CELL_PARAMETERS angstrom
-2.007 -4.688 3.581
5.808 2.161 0.662
-6.444 13.153 13.607
ATOMIC_POSITIONS crystal
O 0.000 0.000 0.370
O 0.294 0.908 0.943
O 0.333 0.667 0.669
O 0.243 0.284 0.250
O 0.092 0.386 0.557
O 0.614 0.706 0.557
O 0.614 0.908 0.057
O 0.419 0.333 0.653
O 0.614 0.706 0.943
O 0.294 0.386 0.443
O 0.667 0.085 0.653
O 0.716 0.958 0.250
O 0.915 0.581 0.653
O 0.419 0.085 0.347
O 0.419 0.085 0.153
O 0.333 0.667 0.831
O 0.042 0.757 0.250
O 0.000 0.000 0.630
O 0.419 0.333 0.847
O 0.000 0.000 0.870
O 0.333 0.667 0.331
O 0.333 0.667 0.169
O 0.915 0.333 0.347
O 0.915 0.581 0.847
O 0.667 0.581 0.153
O 0.092 0.706 0.057
O 0.667 0.085 0.847
O 0.294 0.908 0.557
O 0.614 0.908 0.443
O 0.000 0.000 0.130
O 0.092 0.386 0.943
O 0.915 0.333 0.153
O 0.716 0.757 0.750
O 0.667 0.581 0.347
O 0.042 0.284 0.750
O 0.092 0.706 0.443
O 0.243 0.958 0.750
O 0.294 0.386 0.057
Ta 0.333 0.667 0.500
Ta 0.028 0.694 0.344
Ta 0.028 0.694 0.156
Ta 0.028 0.334 0.656
Ta 0.666 0.972 0.344
Ta 0.028 0.334 0.844
Ta 0.306 0.334 0.344
Ta 0.666 0.694 0.656
Ta 0.306 0.334 0.156
Ta 0.666 0.972 0.156
Ta 0.666 0.694 0.844
Ta 0.333 0.667 0.000
Ta 0.306 0.972 0.844
Ta 0.306 0.972 0.656
Pr 0.000 0.000 0.500
Pr 0.000 0.000 0.000
```

The calculation returns the following raw total energy values, one per record and in order: -6.466, -6.339, -6.367, -6.905, -8.897, -9.662 eV/atom.